Below is NaMnSe2O8 after structural relaxation, with properties calculated at the GGA+U level.

## Properties
calculated volume = 13.45 Å³/atom
uncorrected energy = -5.49 eV/atom
Fermi-level density of states = 9.39 states/eV/cell

Unit cell a=5.972 b=5.972 c=5.972 alpha=105.55 beta=105.55 gamma=117.63
Fractional positions:
Na1 0.000 0.000 0.000
Mn1 0.250 0.750 0.500
Se1 0.750 0.250 0.500
Se2 0.500 0.500 0.000
O1 0.397 0.072 0.325
O2 0.335 0.518 0.184
O3 0.335 0.151 0.816
O4 0.747 0.072 0.675
O5 0.849 0.665 0.184
O6 0.928 0.253 0.325
O7 0.928 0.603 0.675
O8 0.482 0.665 0.816